A plane-wave DFT calculation with GGA-PBE was carried out for a relaxed structure of Y2ErTl.

a b c (Å): 4.8604 4.8604 4.8353
angles (deg): 90.00 90.00 90.00
With the nearest neighbours (Å) after each atom.
Space group P4/mmm (No. 123)
Asymmetric unit:
Y 0.0000 0.5000 0.0000 [2 per cell]  4 Tl 3.43, 4 Er 3.43, 4 Y 3.44
Er 0.0000 0.0000 0.5000 [1 per cell]  8 Y 3.43, 4 Tl 3.44
Tl 0.5000 0.5000 0.5000 [1 per cell]  8 Y 3.43, 4 Er 3.44

Properties
calculated formation energy: -0.185 eV/atom
total magnetization: 1.22 μB/cell
relative energy among the computed polymorphs: 0 meV/atom

---

A plane-wave DFT calculation with GGA-PBE was carried out for a relaxed structure of CaLa2HgRu.

a b c (Å): 5.3505 5.3505 5.7183
angles (deg): 90.00 90.00 90.00
With the nearest neighbours (Å) after each atom.
Space group P4/mmm (No. 123)
Asymmetric unit:
Ca 0.0000 0.0000 0.0000 [1 per cell]  2 Ru 2.86
La 0.0000 0.5000 0.5000 [2 per cell]  2 Ru 2.68
Hg 0.5000 0.5000 0.0000 [1 per cell]  4 Ca 3.78, 8 La 3.92
Ru 0.0000 0.0000 0.5000 [1 per cell]  4 La 2.68, 2 Ca 2.86

Properties
calculated formation energy: -0.233 eV/atom
total magnetization: 0.00 μB/cell
relative energy among the computed polymorphs: 0 meV/atom

---

Q: Look up the relative energy among the computed polymorphs of the second one.
A: 0 meV/atom

---

Q: Look up the calculated formation energy of the second one.
A: -0.233 eV/atom

---

Q: Which value of calculated formation energy does entry 2 give?
A: -0.233 eV/atom